This record from Alexandria via LeMat-Bulk describes a crystal of InSbTe relaxed with PBEsol. The functional is SCAN.

Cell lengths 5.064, 5.064, 5.064 Å; angles 60.00, 60.00, 60.00 degrees
Atoms (fractional coordinates):
In 0.000 0.000 0.000
Sb 0.250 0.250 0.250
Te 0.750 0.750 0.750

Summary:
D(E_F)   0.827 states/eV per atom
Formation energy without anion corrections   0.80 eV per formula unit
Distance to the lowest polymorph of the same formula   87 kJ/mol of formula units